1.
{
  "formula": "Cs3Sm3PuSe8",
  "functional": "GGA-PBE",
  "state": "relaxed",
  "total_energy_ev_per_atom": -5.57,
  "dos_at_fermi_per_ev_cell": 12.1,
  "m_tot_mub_per_cell": 4.00,
  "volume_a3_per_atom": 36.3,
  "lattice": [[-6.3708, -2.9353, 4.9390], [6.8841, -4.8986, -1.4821], [1.3562, 7.5402, 6.2306]],
  "species": ["Se", "Cs", "Se", "Sm", "Se", "Se", "Se", "Cs", "Pu", "Se", "Se", "Sm", "Cs", "Se", "Sm"],
  "fractional_positions": [[0.7774, 0.0403, 0.3179], [0.5000, 0.5000, 0.0000], [0.7371, 0.9597, 0.6821], [0.5000, 0.0000, 0.5000], [0.2629, 0.0403, 0.3179], [0.2227, 0.4453, 0.6822], [0.2226, 0.9597, 0.6821], [0.0000, 0.5000, 0.0000], [0.0000, 0.0000, 0.5000], [0.7294, 0.4587, 0.6879], [0.2706, 0.5413, 0.3121], [0.0000, 0.5000, 0.5000], [0.0000, 0.0000, 0.0000], [0.7773, 0.5547, 0.3178], [0.5000, 0.5000, 0.5000]]
}

2.
{
  "formula": "La4Co",
  "functional": "GGA-PBE",
  "state": "relaxed",
  "polymorph_energy_mev_per_atom": 0,
  "dos_at_fermi_per_ev_cell": 12.7,
  "m_tot_mub_per_cell": 0.00,
  "volume_a3_per_atom": 32.8,
  "lattice": [[7.1396, 0.1879, -2.3576], [-3.5749, 6.1830, -2.3576], [-0.1540, -0.2752, 7.5208]],
  "species": ["Co", "La", "La", "La", "La", "La", "Co", "La", "La", "La"],
  "fractional_positions": [[0.5804, 0.0804, 0.5000], [0.1242, 0.4145, 0.7104], [0.2469, 0.5365, 0.2901], [0.6638, 0.4541, 0.7896], [0.2067, 0.9964, 0.2099], [0.6645, 0.8742, 0.2104], [0.3304, 0.3304, 0.0000], [0.7041, 0.4138, 0.2896], [0.7865, 0.9969, 0.7901], [0.2464, 0.9567, 0.7099]]
}

3.
{
  "formula": "YMg14Cd",
  "functional": "GGA-PBE",
  "state": "relaxed",
  "polymorph_energy_mev_per_atom": 0,
  "dos_at_fermi_per_ev_cell": 7.3,
  "m_tot_mub_per_cell": 0.00,
  "volume_a3_per_atom": 23.4,
  "lattice": [[3.2105, -5.6845, 0.0000], [3.2105, 5.6845, 0.0000], [0.0000, 0.0000, 10.2715]],
  "species": ["Cd", "Mg", "Mg", "Mg", "Mg", "Mg", "Mg", "Y", "Mg", "Mg", "Mg", "Mg", "Mg", "Mg", "Mg", "Mg"],
  "fractional_positions": [[0.3404, 0.6596, 0.5000], [0.3276, 0.1630, 0.0000], [0.8308, 0.1692, 0.0000], [0.1712, 0.8288, 0.2636], [0.6694, 0.8322, 0.7531], [0.8197, 0.6639, 0.5000], [0.8370, 0.6724, 0.0000], [0.8287, 0.1713, 0.5000], [0.1678, 0.3306, 0.2469], [0.3361, 0.1803, 0.5000], [0.6667, 0.3333, 0.2450], [0.6667, 0.3333, 0.7550], [0.3295, 0.6705, 0.0000], [0.1712, 0.8288, 0.7364], [0.6694, 0.8322, 0.2469], [0.1678, 0.3306, 0.7531]]
}

4.
{
  "formula": "TbEr2GaAu4",
  "functional": "GGA-PBE",
  "state": "relaxed",
  "total_energy_ev_per_atom": -4.50,
  "dos_at_fermi_per_ev_cell": 5.0,
  "m_tot_mub_per_cell": 0.00,
  "volume_a3_per_atom": 21.9,
  "lattice": [[-1.4831, -1.5910, -4.4513], [3.3446, -0.9793, -3.5214], [1.1025, -8.6519, -0.0320]],
  "species": ["Er", "Au", "Tb", "Er", "Ga", "Au", "Au", "Au"],
  "fractional_positions": [[0.2410, 0.2410, 0.2771], [0.6313, 0.6313, 0.1062], [0.0000, 0.0000, 0.0000], [0.7590, 0.7590, 0.7229], [0.5000, 0.5000, 0.5000], [0.1202, 0.1202, 0.6394], [0.3687, 0.3687, 0.8938], [0.8798, 0.8798, 0.3606]]
}